No. 1
# Mg2ZrTe

Mg2ZrTe after structural relaxation (PBEsol, the Alexandria database).

The structure belongs to space group Cmmm (No. 65); the cell edges are 3.717, 5.174 and 9.751 Å and the angles 90.00°, 90.00° and 90.00°. The asymmetric unit holds Mg at (0.000, 0.000, 0.246), Zr at (0.000, 0.500, 0.000) and Te at (0.000, 0.500, 0.500).

For the theoretical density, the calculation gives 4.7 g/cm3. The total DFT energy (no corrections) comes out at -32.29 eV per cell. The value obtained for the total moment is 0.32 μB per formula unit. The value obtained for the formation energy from raw total energies is -0.024 eV per atom. As for the density of states at the Fermi level: 6.704 states/eV per cell.

=====

No. 2
# Mg2ZrTe

Mg2ZrTe after structural relaxation (PBEsol, the Alexandria database).

The structure belongs to space group P4mm (No. 99); the cell edges are 3.704, 3.704 and 6.384 Å and the angles 90.00°, 90.00° and 90.00°. The asymmetric unit holds Mg at (0.000, 0.000, 0.000), Mg at (0.500, 0.500, 0.240), Zr at (0.500, 0.500, 0.739) and Te at (0.000, 0.000, 0.517).

For the theoretical density, the calculation gives 5.1 g/cm3. The total DFT energy (no corrections) comes out at -17.61 eV per cell. The value obtained for the total moment is 0.00 μB per formula unit. The value obtained for the formation energy from raw total energies is -0.389 eV per atom. As for the density of states at the Fermi level: 1.369 states/eV per cell.

=====

No. 3
# Mg2ZrTe

Mg2ZrTe after structural relaxation (PBEsol, the Alexandria database).

The structure belongs to space group R-3m (No. 166, hexagonal axes); the cell edges are 3.3125, 3.3125 and 29.5337 Å and the angles 90.00°, 90.00° and 120.00°. The asymmetric unit holds Mg at (0.0000, 0.0000, 0.2481), Zr at (0.0000, 0.0000, 0.0000) and Te at (0.0000, 0.0000, 0.5000).

For the theoretical density, the calculation gives 4.7 g/cm3. The total DFT energy (no corrections) comes out at -48.36 eV per cell. The value obtained for the total moment is 0.00 μB per formula unit. The value obtained for the formation energy from raw total energies is -0.018 eV per atom. As for the density of states at the Fermi level: 9.934 states/eV per cell.

=====

No. 4
# MgZrTe

MgZrTe after structural relaxation (PBEsol, the Alexandria database).

The structure belongs to space group P3m1 (No. 156); the cell edges are 3.6074, 3.6074 and 6.6679 Å and the angles 90.00°, 90.00° and 120.00°. The asymmetric unit holds Mg at (0.0000, 0.0000, 0.0000), Zr at (0.6667, 0.3333, 0.3613) and Te at (0.3333, 0.6667, 0.6522).

The energy above the most stable polymorph in this dataset comes out at 0 meV per atom. For the theoretical density, the calculation gives 5.4 g/cm3. The total DFT energy (no corrections) comes out at -15.18 eV per cell. The value obtained for the total moment is 0.00 μB per formula unit. The value obtained for the formation energy from raw total energies is -0.283 eV per atom. As for the density of states at the Fermi level: 3.051 states/eV per cell.

=====

No. 5
# Mg2ZrTe

Mg2ZrTe after structural relaxation (PBEsol, the Alexandria database).

The structure belongs to space group P4/mmm (No. 123); the cell edges are 3.869, 3.869 and 5.900 Å and the angles 90.00°, 90.00° and 90.00°. The asymmetric unit holds Mg at (0.000, 0.000, 0.244), Zr at (0.500, 0.500, 0.000) and Te at (0.500, 0.500, 0.500).

For the theoretical density, the calculation gives 5.0 g/cm3. The total DFT energy (no corrections) comes out at -16.89 eV per cell. The value obtained for the total moment is 0.00 μB per formula unit. The value obtained for the formation energy from raw total energies is -0.209 eV per atom. As for the density of states at the Fermi level: 1.916 states/eV per cell.

=====

No. 6
# Mg2ZrTe

Mg2ZrTe after structural relaxation (PBEsol, the Alexandria database).

The structure belongs to space group R3m (No. 160, hexagonal axes); the cell edges are 3.5550, 3.5550 and 27.3392 Å and the angles 90.00°, 90.00° and 120.00°. The asymmetric unit holds Mg at (0.0000, 0.0000, 0.0000), Mg at (0.0000, 0.0000, 0.2432), Zr at (0.0000, 0.0000, 0.4884) and Te at (0.0000, 0.0000, 0.7500).

For the theoretical density, the calculation gives 4.5 g/cm3. The total DFT energy (no corrections) comes out at -50.41 eV per cell. The value obtained for the total moment is 0.00 μB per formula unit. The value obtained for the formation energy from raw total energies is -0.188 eV per atom. As for the density of states at the Fermi level: 11.481 states/eV per cell.

=====

No. 7
# Mg3TiTl

Mg3TiTl after structural relaxation (PBEsol, the Alexandria database).

The structure belongs to space group Pm-3m (No. 221); the cell edges are 5.212, 5.212 and 5.212 Å and the angles 90.00°, 90.00° and 90.00°. The asymmetric unit holds Mg at (0.000, 0.000, 0.500), Ti at (0.500, 0.500, 0.500) and Tl at (0.000, 0.000, 0.000).

For the theoretical density, the calculation gives 3.8 g/cm3. The formation energy is 0.82 eV per atom. The total DFT energy (no corrections) comes out at -12.00 eV per cell. The value obtained for the total moment is 2.74 μB per formula unit. As for the density of states at the Fermi level: 6.961 states/eV per cell.

=====

No. 8
# Y3MgTi

Y3MgTi after structural relaxation (PBEsol, the Alexandria database).

The structure belongs to space group Pm-3m (No. 221); the cell edges are 5.450, 5.450 and 5.450 Å and the angles 90.00°, 90.00° and 90.00°. The asymmetric unit holds Y at (0.000, 0.000, 0.500), Mg at (0.000, 0.000, 0.000) and Ti at (0.500, 0.500, 0.500).

For the theoretical density, the calculation gives 3.5 g/cm3. The formation energy is 1.03 eV per atom. The total DFT energy (no corrections) comes out at -25.35 eV per cell. The value obtained for the total moment is 2.76 μB per formula unit. As for the density of states at the Fermi level: 10.441 states/eV per cell.

=====

No. 9
# MgZr3Ti

MgZr3Ti after structural relaxation (PBEsol, the Alexandria database).

The structure belongs to space group Pm-3m (No. 221); the cell edges are 4.927, 4.927 and 4.927 Å and the angles 90.00°, 90.00° and 90.00°. The asymmetric unit holds Mg at (0.000, 0.000, 0.000), Zr at (0.000, 0.500, 0.500) and Ti at (0.500, 0.500, 0.500).

For the theoretical density, the calculation gives 4.8 g/cm3. The formation energy is 0.71 eV per atom. The total DFT energy (no corrections) comes out at -33.78 eV per cell. The value obtained for the total moment is 0.00 μB per formula unit. As for the density of states at the Fermi level: 7.810 states/eV per cell.

=====

No. 10
# Mg3Tl5

Mg3Tl5 after structural relaxation (PBEsol, the Alexandria database).

The structure belongs to space group I4/mcm (No. 140); the cell edges are 11.571, 11.571 and 6.081 Å and the angles 90.00°, 90.00° and 90.00°. The asymmetric unit holds Mg at (0.000, 0.000, 0.250), Mg at (0.173, 0.327, 0.000), Tl at (0.000, 0.500, 0.250) and Tl at (0.071, 0.227, 0.500).

The energy above the most stable polymorph in this dataset comes out at 12 meV per atom. For the theoretical density, the calculation gives 8.9 g/cm3. The formation energy is -0.02 eV per atom. The total DFT energy (no corrections) comes out at -73.96 eV per cell. The value obtained for the total moment is 0.00 μB per formula unit. As for the density of states at the Fermi level: 12.345 states/eV per cell.

=====

No. 11
# Mg3Tl

Mg3Tl after structural relaxation (PBEsol, the Alexandria database).

The structure belongs to space group Pmmm (No. 47); the cell edges are 3.401, 4.254 and 6.319 Å and the angles 90.00°, 90.00° and 90.00°. The asymmetric unit holds Mg at (0.000, 0.000, 0.000), Mg at (0.500, 0.500, 0.249) and Tl at (0.000, 0.000, 0.500).

For the theoretical density, the calculation gives 5.0 g/cm3. The formation energy is -0.05 eV per atom. The total DFT energy (no corrections) comes out at -7.99 eV per cell. The value obtained for the total moment is 0.00 μB per formula unit. As for the density of states at the Fermi level: 1.704 states/eV per cell.

=====

No. 12
# Mg3Tl

Mg3Tl after structural relaxation (PBEsol, the Alexandria database).

The structure belongs to space group Imm2 (No. 44); the cell edges are 3.284, 10.351 and 5.413 Å and the angles 90.00°, 90.00° and 90.00°. The asymmetric unit holds Mg at (0.000, 0.000, 0.000), Mg at (0.000, 0.249, 0.658) and Tl at (0.000, 0.500, 0.996).

For the theoretical density, the calculation gives 5.0 g/cm3. The formation energy is -0.05 eV per atom. The total DFT energy (no corrections) comes out at -15.94 eV per cell. The value obtained for the total moment is 0.00 μB per formula unit. As for the density of states at the Fermi level: 3.010 states/eV per cell.